i:
Na2TlTe2: relaxed, PBE.

Output
For the spin magnetization, the calculation gives 0.00 μB/f.u.

Geometry as CIF:
```
data_Na2TlTe2
_chemical_formula_sum 'Na4 Tl2 Te4'
_cell_length_a 9.208
_cell_length_b 9.208
_cell_length_c 3.531
_cell_angle_alpha 90.00
_cell_angle_beta 90.00
_cell_angle_gamma 90.00
_space_group_name_H-M_alt 'P 4/m b m'
_space_group_IT_number 127
_space_group_name_Hall '-P 4 2ab'
loop_
_atom_site_label
_atom_site_type_symbol
_atom_site_fract_x
_atom_site_fract_y
_atom_site_fract_z
Na1 Na 0.125 0.375 0.000
Tl1 Tl 0.000 0.000 0.000
Te1 Te 0.174 0.674 0.500
```


ii:
Na2TlTe2: relaxed, PBE.

Output
For the spin magnetization, the calculation gives 0.00 μB/f.u.

Geometry as CIF:
```
data_Na2TlTe2
_chemical_formula_sum 'Na8 Tl4 Te8'
_cell_length_a 8.153
_cell_length_b 12.122
_cell_length_c 7.149
_cell_angle_alpha 90.00
_cell_angle_beta 90.00
_cell_angle_gamma 90.00
_space_group_name_H-M_alt 'I b a m'
_space_group_IT_number 72
_space_group_name_Hall '-I 2 2c'
loop_
_atom_site_label
_atom_site_type_symbol
_atom_site_fract_x
_atom_site_fract_y
_atom_site_fract_z
Na1 Na 0.139 0.128 0.000
Tl1 Tl 0.000 0.500 0.250
Te1 Te 0.250 0.127 0.500
```


Least stable structure: ii


i:
NaTl3Te: relaxed, PBE.

Output
For the spin magnetization, the calculation gives 0.00 μB/f.u.

Geometry as CIF:
```
data_NaTl3Te
_chemical_formula_sum 'Na1 Tl3 Te1'
_cell_length_a 6.314
_cell_length_b 6.314
_cell_length_c 6.314
_cell_angle_alpha 90.00
_cell_angle_beta 90.00
_cell_angle_gamma 90.00
_space_group_name_H-M_alt 'P m -3 m'
_space_group_IT_number 221
_space_group_name_Hall '-P 4 2 3'
loop_
_atom_site_label
_atom_site_type_symbol
_atom_site_fract_x
_atom_site_fract_y
_atom_site_fract_z
Na1 Na 0.000 0.000 0.000
Tl1 Tl 0.000 0.500 0.500
Te1 Te 0.500 0.500 0.500
```


ii:
NaTl3Te: relaxed, PBE.

Output
For the spin magnetization, the calculation gives 0.00 μB/f.u.

Geometry as CIF:
```
data_NaTl3Te
_chemical_formula_sum 'Na1 Tl3 Te1'
_cell_length_a 5.668
_cell_length_b 5.668
_cell_length_c 5.668
_cell_angle_alpha 90.00
_cell_angle_beta 90.00
_cell_angle_gamma 90.00
_space_group_name_H-M_alt 'P m -3 m'
_space_group_IT_number 221
_space_group_name_Hall '-P 4 2 3'
loop_
_atom_site_label
_atom_site_type_symbol
_atom_site_fract_x
_atom_site_fract_y
_atom_site_fract_z
Na1 Na 0.000 0.000 0.000
Tl1 Tl 0.000 0.000 0.500
Te1 Te 0.500 0.500 0.500
```


Least stable structure: i


i:
NaTl3Te2: relaxed, PBE.

Output
For the spin magnetization, the calculation gives 0.00 μB/f.u.

Geometry as CIF:
```
data_NaTl3Te2
_chemical_formula_sum 'Na4 Tl12 Te8'
_cell_length_a 7.327
_cell_length_b 15.624
_cell_length_c 7.317
_cell_angle_alpha 90.00
_cell_angle_beta 90.00
_cell_angle_gamma 90.00
_space_group_name_H-M_alt 'I b a m'
_space_group_IT_number 72
_space_group_name_Hall '-I 2 2c'
loop_
_atom_site_label
_atom_site_type_symbol
_atom_site_fract_x
_atom_site_fract_y
_atom_site_fract_z
Na1 Na 0.000 0.000 0.250
Tl1 Tl 0.000 0.500 0.250
Tl2 Tl 0.249 0.169 0.000
Te1 Te 0.219 0.130 0.500
```


ii:
NaTl3Te2: relaxed, PBE.

Output
For the spin magnetization, the calculation gives 0.00 μB/f.u.

Geometry as CIF:
```
data_NaTl3Te2
_chemical_formula_sum 'Na4 Tl12 Te8'
_cell_length_a 17.983
_cell_length_b 4.801
_cell_length_c 12.419
_cell_angle_alpha 90.00
_cell_angle_beta 118.65
_cell_angle_gamma 90.00
_space_group_name_H-M_alt 'C 1 2/m 1'
_space_group_IT_number 12
_space_group_name_Hall '-C 2y'
loop_
_atom_site_label
_atom_site_type_symbol
_atom_site_fract_x
_atom_site_fract_y
_atom_site_fract_z
Na1 Na 0.078 0.000 0.168
Tl1 Tl 0.070 0.500 0.739
Tl2 Tl 0.161 0.000 0.540
Tl3 Tl 0.228 0.500 0.131
Te1 Te 0.117 0.000 0.946
Te2 Te 0.132 0.500 0.347
```


Least stable structure: i


i:
NaTm6Te8: relaxed, PBE.

Output
For the spin magnetization, the calculation gives 0.01 μB/f.u.

Geometry as CIF:
```
data_NaTm6Te8
_chemical_formula_sum 'Na1 Tm6 Te8'
_cell_length_a 11.3839
_cell_length_b 11.3839
_cell_length_c 4.4434
_cell_angle_alpha 90.00
_cell_angle_beta 90.00
_cell_angle_gamma 120.00
_space_group_name_H-M_alt 'P -3'
_space_group_IT_number 147
_space_group_name_Hall '-P 3'
loop_
_atom_site_label
_atom_site_type_symbol
_atom_site_fract_x
_atom_site_fract_y
_atom_site_fract_z
Na1 Na 0.0000 0.0000 0.0000
Tm1 Tm 0.1353 0.6475 0.7503
Te1 Te 0.0417 0.3429 0.7498
Te2 Te 0.3333 0.6667 0.2504
```


ii:
NaTm6Te8: relaxed, PBE.

Output
For the spin magnetization, the calculation gives 0.00 μB/f.u.

Geometry as CIF:
```
data_NaTm6Te8
_chemical_formula_sum 'Na4 Tm24 Te32'
_cell_length_a 12.163
_cell_length_b 12.163
_cell_length_c 12.163
_cell_angle_alpha 90.00
_cell_angle_beta 90.00
_cell_angle_gamma 90.00
_space_group_name_H-M_alt 'F m -3 m'
_space_group_IT_number 225
_space_group_name_Hall '-F 4 2 3'
loop_
_atom_site_label
_atom_site_type_symbol
_atom_site_fract_x
_atom_site_fract_y
_atom_site_fract_z
Na1 Na 0.000 0.000 0.000
Tm1 Tm 0.000 0.250 0.250
Te1 Te 0.000 0.000 0.258
Te2 Te 0.250 0.250 0.250
```


Least stable structure: i